(1)
Entry from Alexandria: an optimized crystal structure of KBaFe2 (PBE-GGA).

The structure belongs to space group Pmmm (No. 47); the cell edges are 4.381, 4.439 and 7.717 Å and the angles 90.00°, 90.00° and 90.00°. The asymmetric unit holds K at (0.000, 0.000, 0.000), Ba at (0.000, 0.000, 0.500) and Fe at (0.500, 0.500, 0.360).

As for the distance to the lowest polymorph of the same formula: 0.284 eV/atom. Its crystal system is orthorhombic.


(2)
Entry from Alexandria: an optimized crystal structure of Mg2Zn3Rh4 (PBE-GGA).

The structure belongs to space group C2/m (No. 12); the cell edges are 7.960, 4.157 and 8.052 Å and the angles 90.00°, 99.04° and 90.00°. The asymmetric unit holds Mg at (0.186, 0.000, 0.220), Zn at (0.000, 0.500, 0.000), Zn at (0.151, 0.000, 0.567), Rh at (0.029, 0.500, 0.344) and Rh at (0.153, 0.000, 0.890).

Its crystal system is monoclinic.


Total magnetization list, top to bottom, in μB/cell: 5.8 0.0
Energy of formation from the pure elements list, top to bottom, in eV per atom: 0.924 -0.385
E list, top to bottom, in eV/atom: -4.0622 -4.4315